No. 1
AcSm2Ni after structural relaxation. Source: Alexandria, functional PBE-GGA.

Lattice parameters (Å, degrees): 9.6147 9.6147 9.6147 24.00 24.00 24.00
With the nearest neighbours (Å) after each atom.
Fractional positions:
Ac1 0.0000 0.0000 0.0000  6 Sm 3.84-3.94, 6 Ac 4.00
Sm1 0.5525 0.5525 0.5525  3 Ni 2.78
Sm2 0.7763 0.7763 0.7763  3 Ni 2.76
Ni1 0.1637 0.1637 0.1637  6 Sm 2.76-2.78

No. 2
Ac2SmNi after structural relaxation. Source: Alexandria, functional PBE-GGA.

Lattice parameters (Å, degrees): 7.3947 10.5071 6.7487 90.00 90.00 90.00
With the nearest neighbours (Å) after each atom.
Fractional positions:
Ac1 0.1771 0.0702 0.1749  2 Ni 3.03-3.05
Ac2 0.1771 0.4298 0.1749  2 Ni 3.03-3.05
Ac3 0.3229 0.5702 0.6749  2 Ni 3.03-3.05
Ac4 0.3229 0.9298 0.6749  2 Ni 3.03-3.05
Ac5 0.6771 0.0702 0.3251  2 Ni 3.03-3.05
Ac6 0.6771 0.4298 0.3251  2 Ni 3.03-3.05
Ac7 0.8229 0.5702 0.8251  2 Ni 3.03-3.05
Ac8 0.8229 0.9298 0.8251  2 Ni 3.03-3.05
Sm1 0.0423 0.2500 0.6650  2 Ni 2.86-2.87
Sm2 0.4577 0.7500 0.1650  2 Ni 2.86-2.87
Sm3 0.5423 0.2500 0.8350  2 Ni 2.86-2.87
Sm4 0.9577 0.7500 0.3350  2 Ni 2.86-2.87
Ni1 0.1220 0.7500 0.9519  2 Sm 2.86-2.87, 4 Ac 3.03-3.05
Ni2 0.3780 0.2500 0.4519  2 Sm 2.86-2.87, 4 Ac 3.03-3.05
Ni3 0.6220 0.7500 0.5481  2 Sm 2.86-2.87, 4 Ac 3.03-3.05
Ni4 0.8780 0.2500 0.0481  2 Sm 2.86-2.87, 4 Ac 3.03-3.05

Polymorph energy (0 for the lowest one) across the listed records, respectively: 72, 0 meV/atom.
N(E_F) across the listed records, respectively: 5.3, 18.6 states/eV per cell.
E_tot across the listed records, respectively: -4.925, -4.808 eV/atom.